The following is a PBE-GGA calculation of a relaxed structure of Ca2Pd2PtAu5, from Alexandria.

a b c (Å): 4.2495 9.5884 9.5884
angles (deg): 90.00 90.00 90.00
Fractional coordinates of all 20 atoms:
Ca  0.0000  0.6759  0.1759
Ca  0.0000  0.3241  0.8241
Ca  0.0000  0.1759  0.3241
Ca  0.0000  0.8241  0.6759
Pd  0.0000  0.1241  0.6241
Pd  0.0000  0.8759  0.3759
Pd  0.0000  0.6241  0.8759
Pd  0.0000  0.3759  0.1241
Pt  0.0000  0.0000  0.0000
Pt  0.0000  0.5000  0.5000
Au  0.5000  0.1998  0.0615
Au  0.5000  0.8002  0.9385
Au  0.5000  0.0615  0.8002
Au  0.5000  0.6998  0.4385
Au  0.5000  0.9385  0.1998
Au  0.5000  0.3002  0.5615
Au  0.5000  0.5615  0.6998
Au  0.5000  0.4385  0.3002
Au  0.5000  0.5000  0.0000
Au  0.5000  0.0000  0.5000

Properties
DFT total energy = -4.1749 eV/atom
Density of states at the Fermi level = 0.27 states/eV/atom
Crystal system = tetragonal